(1)
# PBE HgOs2Se, optimized geometry
# Formation energy without anion corrections: 0.794 eV per atom
data_HgOs2Se
_chemical_formula_sum 'Hg3 Os6 Se3'
_symmetry_space_group_name_H-M 'R -3 m'
_symmetry_Int_Tables_number 166
_symmetry_space_group_name_Hall '-R 3 2"'
_cell_length_a 2.9616
_cell_length_b 2.9616
_cell_length_c 25.9174
_cell_angle_alpha 90.00
_cell_angle_beta 90.00
_cell_angle_gamma 120.00
loop_
_atom_site_label
_atom_site_fract_x
_atom_site_fract_y
_atom_site_fract_z
Hg1 0.0000 0.0000 0.0000
Os1 0.0000 0.0000 0.2406
Se1 0.0000 0.0000 0.5000

=====

(2)
# PBE Sm2MgSi4Pd3, optimized geometry
# Formation energy without anion corrections: -0.794 eV per atom
data_Sm2MgSi4Pd3
_chemical_formula_sum 'Sm2 Mg1 Si4 Pd3'
_symmetry_space_group_name_H-M 'P -4 m 2'
_symmetry_Int_Tables_number 115
_symmetry_space_group_name_Hall 'P -4 -2'
_cell_length_a 4.184
_cell_length_b 4.184
_cell_length_c 10.467
_cell_angle_alpha 90.00
_cell_angle_beta 90.00
_cell_angle_gamma 90.00
loop_
_atom_site_label
_atom_site_fract_x
_atom_site_fract_y
_atom_site_fract_z
Sm1 0.000 0.500 0.241
Mg1 0.000 0.000 0.500
Si1 0.000 0.000 0.000
Si2 0.000 0.500 0.650
Si3 0.500 0.500 0.000
Pd1 0.000 0.500 0.882
Pd2 0.500 0.500 0.500

=====

(3)
# PBE LiLaSmRh, optimized geometry
# E_form: -351 meV/atom
data_LiLaSmRh
_chemical_formula_sum 'Li4 La4 Sm4 Rh4'
_symmetry_space_group_name_H-M 'F -4 3 m'
_symmetry_Int_Tables_number 216
_symmetry_space_group_name_Hall 'F -4 2 3'
_cell_length_a 7.235
_cell_length_b 7.235
_cell_length_c 7.235
_cell_angle_alpha 90.00
_cell_angle_beta 90.00
_cell_angle_gamma 90.00
loop_
_atom_site_label
_atom_site_fract_x
_atom_site_fract_y
_atom_site_fract_z
Li1 0.000 0.000 0.000
La1 0.250 0.250 0.750
Sm1 0.250 0.250 0.250
Rh1 0.000 0.000 0.500

=====

(4)
# PBE KDyPuI6, optimized geometry
# Formation energy without anion corrections: -1.290 eV per atom
data_KDyPuI6
_chemical_formula_sum 'K2 Dy2 Pu2 I12'
_symmetry_space_group_name_H-M 'P -3 1 c'
_symmetry_Int_Tables_number 163
_symmetry_space_group_name_Hall '-P 3 2c'
_cell_length_a 7.9813
_cell_length_b 7.9813
_cell_length_c 15.7711
_cell_angle_alpha 90.00
_cell_angle_beta 90.00
_cell_angle_gamma 120.00
loop_
_atom_site_label
_atom_site_fract_x
_atom_site_fract_y
_atom_site_fract_z
K1 0.0000 0.0000 0.0000
Dy1 0.3333 0.6667 0.2500
Pu1 0.3333 0.6667 0.7500
I1 0.0142 0.3689 0.1357

=====

| no. | V (A^3/atom) | E_tot (eV for the cell shown) |
| --- | --- | --- |
| 1 | 16.41 | -69.210 |
| 2 | 18.32 | -56.241 |
| 3 | 23.67 | -81.266 |
| 4 | 48.34 | -81.882 |